# 1
Entry from the Alexandria database: a relaxed structure of Np2Ge3Ir5 (PBE).

Unit cell a=8.397 b=8.397 c=8.397 alpha=99.60 beta=93.87 gamma=139.98
Fractional coordinates of all 20 atoms:
Np: 0.239 0.129 0.367
Np: 0.261 0.629 0.890
Np: 0.739 0.371 0.110
Np: 0.761 0.871 0.633
Ge: 0.118 0.866 0.984
Ge: 0.250 0.750 0.500
Ge: 0.382 0.366 0.748
Ge: 0.618 0.634 0.252
Ge: 0.750 0.250 0.500
Ge: 0.882 0.134 0.016
Ir: 0.173 0.391 0.564
Ir: 0.250 0.250 0.000
Ir: 0.250 0.521 0.271
Ir: 0.250 0.979 0.729
Ir: 0.327 0.891 0.218
Ir: 0.673 0.109 0.782
Ir: 0.750 0.021 0.271
Ir: 0.750 0.479 0.729
Ir: 0.750 0.750 0.000
Ir: 0.827 0.609 0.436

Values from the calculation:
- Spin magnetization: 6.43 μB per formula unit
- Relative energy among the computed polymorphs: 0 meV/atom
- ΔH_f (0 K): -371 meV per atom
- D(E_F): 19.478 states/eV/f.u.
- Calculated total energy: -175.49 eV/cell
- Space-group type: No. 72

# 2
Entry from the Alexandria database: a relaxed structure of CsSmCoCl6 (PBE).

Unit cell a=6.804 b=6.804 c=7.788 alpha=90.13 beta=90.13 gamma=120.06
Fractional coordinates of all 9 atoms:
Cs: 0.000 0.000 0.000
Sm: 0.666 0.334 0.500
Co: 0.333 0.667 0.500
Cl: 0.027 0.389 0.689
Cl: 0.027 0.637 0.311
Cl: 0.363 0.973 0.689
Cl: 0.370 0.396 0.307
Cl: 0.604 0.630 0.693
Cl: 0.611 0.973 0.311

Values from the calculation:
- Raw formation energy: -1.64 eV per atom
- Spin magnetization: 3.00 μB per formula unit
- D(E_F): 0.843 states/eV/f.u.
- Calculated total energy: -38.56 eV/cell
- Space-group type: No. 5

# 3
Entry from the Alexandria database: a relaxed structure of KZr2Cd (PBE).

Unit cell a=3.032 b=5.496 c=6.790 alpha=90.00 beta=96.42 gamma=90.00
Fractional coordinates of all 4 atoms:
K: 0.000 0.000 0.000
Zr: 0.271 0.500 0.683
Zr: 0.729 0.500 0.317
Cd: 0.500 0.000 0.500

Values from the calculation:
- Spin magnetization: 0.00 μB per formula unit
- ΔH_f (0 K): 488 meV per atom
- D(E_F): 4.015 states/eV/f.u.
- Calculated total energy: -17.16 eV/cell
- Space-group type: No. 10

# 4
Entry from the Alexandria database: a relaxed structure of AlPdAu3 (PBE).

Unit cell a=4.742 b=4.742 c=4.742 alpha=90.00 beta=90.00 gamma=90.00
Fractional coordinates of all 5 atoms:
Al: 0.000 0.000 0.000
Pd: 0.500 0.500 0.500
Au: 0.000 0.000 0.500
Au: 0.000 0.500 0.000
Au: 0.500 0.000 0.000

Values from the calculation:
- Spin magnetization: 0.00 μB per formula unit
- Relative energy among the computed polymorphs: 735 meV/atom
- ΔH_f (0 K): 424 meV per atom
- D(E_F): 2.032 states/eV/f.u.
- Calculated total energy: -16.65 eV/cell
- Space-group type: No. 221

What did the first record say?
Entry from the Alexandria database: a relaxed structure of Np2Ge3Ir5 (PBE).

Unit cell a=8.397 b=8.397 c=8.397 alpha=99.60 beta=93.87 gamma=139.98
Fractional coordinates of all 20 atoms:
Np: 0.239 0.129 0.367
Np: 0.261 0.629 0.890
Np: 0.739 0.371 0.110
Np: 0.761 0.871 0.633
Ge: 0.118 0.866 0.984
Ge: 0.250 0.750 0.500
Ge: 0.382 0.366 0.748
Ge: 0.618 0.634 0.252
Ge: 0.750 0.250 0.500
Ge: 0.882 0.134 0.016
Ir: 0.173 0.391 0.564
Ir: 0.250 0.250 0.000
Ir: 0.250 0.521 0.271
Ir: 0.250 0.979 0.729
Ir: 0.327 0.891 0.218
Ir: 0.673 0.109 0.782
Ir: 0.750 0.021 0.271
Ir: 0.750 0.479 0.729
Ir: 0.750 0.750 0.000
Ir: 0.827 0.609 0.436

Values from the calculation:
- Spin magnetization: 6.43 μB per formula unit
- Relative energy among the computed polymorphs: 0 meV/atom
- ΔH_f (0 K): -371 meV per atom
- D(E_F): 19.478 states/eV/f.u.
- Calculated total energy: -175.49 eV/cell
- Space-group type: No. 72

Which formula does entry 2 have?
CsSmCoCl6

What did the second record say?
Entry from the Alexandria database: a relaxed structure of CsSmCoCl6 (PBE).

Unit cell a=6.804 b=6.804 c=7.788 alpha=90.13 beta=90.13 gamma=120.06
Fractional coordinates of all 9 atoms:
Cs: 0.000 0.000 0.000
Sm: 0.666 0.334 0.500
Co: 0.333 0.667 0.500
Cl: 0.027 0.389 0.689
Cl: 0.027 0.637 0.311
Cl: 0.363 0.973 0.689
Cl: 0.370 0.396 0.307
Cl: 0.604 0.630 0.693
Cl: 0.611 0.973 0.311

Values from the calculation:
- Raw formation energy: -1.64 eV per atom
- Spin magnetization: 3.00 μB per formula unit
- D(E_F): 0.843 states/eV/f.u.
- Calculated total energy: -38.56 eV/cell
- Space-group type: No. 5